1.
Here is LiTaCr4 after structural relaxation from Alexandria via LeMat-Bulk. Energies are from PBE.

## Properties
Spin magnetization   0.0000 μB/atom

a b c (Å): 4.8365 4.8365 4.8365
angles (deg): 60.00 60.00 60.00
Element x y z (fractional)
Cr1 0.3760 0.3760 0.8721
Cr2 0.3760 0.3760 0.3760
Cr3 0.3760 0.8721 0.3760
Cr4 0.8721 0.3760 0.3760
Ta1 0.0000 0.0000 0.0000
Li1 0.7500 0.7500 0.7500

2.
Here is LiTaCr2 after structural relaxation from Alexandria via LeMat-Bulk. Energies are from PBE.

## Properties
Energy above the most stable polymorph in this dataset   93.1 meV per atom
Spin magnetization   0.1505 μB/atom

a b c (Å): 4.2609 4.2609 4.2609
angles (deg): 120.18 120.18 89.69
Site moments in Bohr magnetons follow the coordinates.
Element x y z (fractional)
Li1 0.5000 0.5000 0.0000  0.01
Cr1 0.0000 0.0000 0.0000  -1.05
Cr2 0.2500 0.7500 0.5000  1.92
Ta1 0.7500 0.2500 0.5000  -0.26

3.
Here is LiTaCr after structural relaxation from Alexandria via LeMat-Bulk. Energies are from PBE.

## Properties
Energy above the most stable polymorph in this dataset   943.9 meV per atom
Spin magnetization   0.6705 μB/atom

a b c (Å): 4.2689 4.2689 4.2689
angles (deg): 60.00 60.00 60.00
Site moments in Bohr magnetons follow the coordinates.
Element x y z (fractional)
Cr1 0.0000 0.0000 0.0000  2.38
Li1 0.5000 0.5000 0.5000  -0.06
Ta1 0.7500 0.7500 0.7500  -0.37

4.
Here is Li2TaCr after structural relaxation from Alexandria via LeMat-Bulk. Energies are from PBE.

## Properties
Energy above the most stable polymorph in this dataset   103.9 meV per atom
Spin magnetization   0.0393 μB/atom

a b c (Å): 3.1769 3.1769 6.6113
angles (deg): 90.00 90.00 90.00
Site moments in Bohr magnetons follow the coordinates.
Element x y z (fractional)
Cr1 0.5000 0.5000 0.7192  0.21
Li1 0.0000 0.0000 0.9803  0.00
Li2 0.5000 0.5000 0.2487  0.00
Ta1 0.0000 0.0000 0.5518  -0.05

5.
Here is Li2TaCr after structural relaxation from Alexandria via LeMat-Bulk. Energies are from PBE.

## Properties
Energy above the most stable polymorph in this dataset   358.0 meV per atom
Spin magnetization   0.4607 μB/atom

a b c (Å): 4.4016 4.4016 4.4016
angles (deg): 60.00 60.00 60.00
Site moments in Bohr magnetons follow the coordinates.
Element x y z (fractional)
Li1 0.2500 0.2500 0.2500  -0.01
Li2 0.0000 0.0000 0.0000  -0.05
Cr1 0.5000 0.5000 0.5000  2.38
Ta1 0.7500 0.7500 0.7500  -0.49

6.
Here is Li2TaVCr after structural relaxation from Alexandria via LeMat-Bulk. Energies are from PBE.

## Properties
Spin magnetization   0.2621 μB/atom

a b c (Å): 4.2693 4.1762 4.2693
angles (deg): 90.00 90.00 90.00
Site moments in Bohr magnetons follow the coordinates.
Element x y z (fractional)
Li1 0.5000 0.0000 0.0000  0.07
Li2 0.0000 0.0000 0.5000  0.06
Cr1 0.0000 0.0000 0.0000  1.81
Ta1 0.5000 0.5000 0.5000  -0.05
V1 0.0000 0.5000 0.0000  -0.55

7.
Here is LiTb2Cr after structural relaxation from Alexandria via LeMat-Bulk. Energies are from PBE.

## Properties
Spin magnetization   0.6650 μB/atom

a b c (Å): 3.5337 3.5337 7.8425
angles (deg): 90.00 90.00 90.00
Site moments in Bohr magnetons follow the coordinates.
Element x y z (fractional)
Tb1 0.0000 0.0000 0.2194  -0.14
Tb2 0.0000 0.0000 0.7806  -0.14
Li1 0.5000 0.5000 0.5000  -0.01
Cr1 0.5000 0.5000 0.0000  2.88

8.
Here is LiTbThCr after structural relaxation from Alexandria via LeMat-Bulk. Energies are from PBE.

## Properties
Spin magnetization   0.6153 μB/atom

a b c (Å): 5.1103 5.1103 5.1103
angles (deg): 60.00 60.00 60.00
Site moments in Bohr magnetons follow the coordinates.
Element x y z (fractional)
Cr1 0.2500 0.2500 0.2500  2.93
Li1 0.7500 0.7500 0.7500  -0.06
Th1 0.0000 0.0000 0.0000  -0.17
Tb1 0.5000 0.5000 0.5000  -0.21

E_form values, unit eV/atom, following the record order: 0.29 0.42 1.38 0.43 0.68 1.16 0.22 0.23.